DFT (PBE) results for a relaxed LaSm2Pd crystal.

Distance to the lowest polymorph of the same formula: 149 meV/atom

a = 3.9516 Å, b = 3.9516 Å, c = 9.7765 Å
α = 78.34°, β = 78.34°, γ = 60.00°
Sites, in units of the cell vectors:
Sm 0.2715 0.2715 0.1856
Sm 0.0613 0.0613 0.8162
La 0.5013 0.5013 0.4962
Pd 0.6660 0.6660 0.0019

DFT (PBE) results for a relaxed LaSm5Pd2 crystal.

a = 3.9438 Å, b = 6.6540 Å, c = 18.9088 Å
α = 90.00°, β = 90.00°, γ = 107.24°
Sites, in units of the cell vectors:
Pd 0.7622 0.5244 0.1291
Pd 0.7622 0.5244 0.3709
Pd 0.2378 0.4756 0.6291
Pd 0.2378 0.4756 0.8709
Sm 0.6478 0.2955 0.5389
Sm 0.6279 0.2557 0.2500
Sm 0.9392 0.8785 0.8902
Sm 0.6478 0.2955 0.9611
Sm 0.3522 0.7045 0.4611
Sm 0.3721 0.7443 0.7500
Sm 0.0608 0.1215 0.3902
Sm 0.0608 0.1215 0.1098
Sm 0.9392 0.8785 0.6098
Sm 0.3522 0.7045 0.0389
La 0.3624 0.7248 0.2500
La 0.6376 0.2752 0.7500

These records have calculated formation energy values of -278 -339 meV per atom, in the order they appear.
These records have Fermi-level density of states values of 1.23 1.07 states/eV/atom, in the order they appear.
These records have density values of 7.05 7.73 g/cm³, in the order they appear.